No. 1
# Nd2SmHoEr | Alexandria via LeMat-Bulk | PBE | relaxed
data_Nd2SmHoEr
_chemical_formula_sum 'Nd4 Sm2 Ho2 Er2'
_symmetry_space_group_name_H-M 'P 1 2/c 1'
_symmetry_Int_Tables_number 13
_symmetry_space_group_name_Hall '-P 2yc'
_cell_length_a 8.173
_cell_length_b 6.769
_cell_length_c 6.182
_cell_angle_alpha 90.00
_cell_angle_beta 90.14
_cell_angle_gamma 90.00
loop_
_atom_site_label
_atom_site_fract_x
_atom_site_fract_y
_atom_site_fract_z
_atom_site_occupancy
Nd1 0.196 0.192 0.251 1
Sm1 0.500 0.500 0.000 1
Ho1 0.000 0.343 0.750 1
Er1 0.500 0.083 0.750 1
# * energy of formation: 0.270 eV/atom
# * spin magnetization: 0.00 μB per formula unit

---

No. 2
# Nd4Sm2HoEr2 | Alexandria via LeMat-Bulk | PBE | relaxed
data_Nd4Sm2HoEr2
_chemical_formula_sum 'Nd8 Sm4 Ho2 Er4'
_symmetry_space_group_name_H-M 'C 1 2/m 1'
_symmetry_Int_Tables_number 12
_symmetry_space_group_name_Hall '-C 2y'
_cell_length_a 15.365
_cell_length_b 5.118
_cell_length_c 8.056
_cell_angle_alpha 90.00
_cell_angle_beta 108.57
_cell_angle_gamma 90.00
loop_
_atom_site_label
_atom_site_fract_x
_atom_site_fract_y
_atom_site_fract_z
_atom_site_occupancy
Nd1 0.055 0.000 0.330 1
Nd2 0.222 0.500 0.331 1
Sm1 0.112 0.500 0.670 1
Ho1 0.000 0.500 0.000 1
Er1 0.167 0.000 0.000 1
# * energy of formation: 0.022 eV/atom
# * spin magnetization: 0.00 μB per formula unit

---

No. 3
# NdSm4HoEr2 | Alexandria via LeMat-Bulk | PBE | relaxed
data_NdSm4HoEr2
_chemical_formula_sum 'Nd1 Sm4 Ho1 Er2'
_symmetry_space_group_name_H-M 'P 1 2/m 1'
_symmetry_Int_Tables_number 10
_symmetry_space_group_name_Hall '-P 2y'
_cell_length_a 6.213
_cell_length_b 3.598
_cell_length_c 11.885
_cell_angle_alpha 90.00
_cell_angle_beta 100.10
_cell_angle_gamma 90.00
loop_
_atom_site_label
_atom_site_fract_x
_atom_site_fract_y
_atom_site_fract_z
_atom_site_occupancy
Nd1 0.000 0.000 0.000 1
Sm1 0.250 0.000 0.749 1
Sm2 0.251 0.500 0.253 1
Ho1 0.000 0.500 0.500 1
Er1 0.500 0.000 0.500 1
Er2 0.500 0.500 0.000 1
# * energy of formation: 0.018 eV/atom
# * spin magnetization: 0.00 μB per formula unit

---

No. 4
# NdSmHoEr | Alexandria via LeMat-Bulk | PBE | relaxed
data_NdSmHoEr
_chemical_formula_sum 'Nd2 Sm2 Ho2 Er2'
_symmetry_space_group_name_H-M 'I -4 m 2'
_symmetry_Int_Tables_number 119
_symmetry_space_group_name_Hall 'I -4 -2'
_cell_length_a 5.080
_cell_length_b 5.080
_cell_length_c 10.100
_cell_angle_alpha 90.00
_cell_angle_beta 90.00
_cell_angle_gamma 90.00
loop_
_atom_site_label
_atom_site_fract_x
_atom_site_fract_y
_atom_site_fract_z
_atom_site_occupancy
Nd1 0.000 0.000 0.000 1
Sm1 0.000 0.500 0.750 1
Ho1 0.000 0.000 0.500 1
Er1 0.000 0.500 0.250 1
# * energy of formation: 0.020 eV/atom
# * spin magnetization: 0.00 μB per formula unit
# * energy above the most stable polymorph in this dataset: 0.0 meV per atom